(1)
Material: TeAuN2O
Method: DFT, PBE-GGA
State: relaxed

Properties
- formation energy from raw total energies (eV per formula unit) = 9.99

Unit cell a=3.9748 b=3.9748 c=4.2159 alpha=90.00 beta=90.00 gamma=90.00
With the nearest neighbours (Å) after each atom.
Element x y z (fractional)
1 Te 0.0000 0.0000 0.0000  2 O 2.11
2 Au 0.5000 0.5000 0.0000  4 Te 2.81, 8 N 2.90
3 N 0.0000 0.5000 0.5000  2 O 1.99
4 N 0.5000 0.0000 0.5000  2 O 1.99
5 O 0.0000 0.0000 0.5000  4 N 1.99, 2 Te 2.11


(2)
Material: MnCd2InCo
Method: DFT, PBE-GGA
State: relaxed

Properties
- formation enthalpy at 0 K (eV/atom) = 1.062

Unit cell a=5.0571 b=5.0571 c=5.0135 alpha=90.00 beta=90.00 gamma=90.00
With the nearest neighbours (Å) after each atom.
Element x y z (fractional)
1 Mn 0.0000 0.0000 0.0000  2 In 2.51, 4 Cd 2.53
2 Cd 0.0000 0.5000 0.0000  2 Mn 2.53
3 Cd 0.5000 0.0000 0.0000  2 Mn 2.53
4 In 0.0000 0.0000 0.5000  2 Mn 2.51
5 Co 0.5000 0.5000 0.5000  8 Cd 3.56, 4 In 3.58


(3)
Material: BeTe2Pt
Method: DFT, PBE-GGA
State: relaxed

Properties
- formation energy from raw total energies (eV per formula unit) = -0.67

Unit cell a=4.3922 b=4.3113 c=4.6061 alpha=90.00 beta=103.83 gamma=90.00
With the nearest neighbours (Å) after each atom.
Element x y z (fractional)
1 Be 0.0000 0.0000 0.0000  2 Pt 2.44, 4 Te 2.56-2.71
2 Te 0.4393 0.0000 0.6761  2 Be 2.56-2.71, 2 Pt 2.67
3 Te 0.8203 0.5000 0.2693  2 Be 2.70, 3 Pt 2.71-2.96
4 Pt 0.2068 0.5000 0.8913  2 Be 2.44, 3 Te 2.67-2.71


(4)
Material: Rb2LaI6F
Method: DFT, PBE-GGA
State: relaxed

Properties
- formation energy from raw total energies (eV per formula unit) = -11.90

Unit cell a=8.5461 b=8.5461 c=8.5461 alpha=113.68 beta=113.68 gamma=101.35
With the nearest neighbours (Å) after each atom.
Element x y z (fractional)
1 Rb 0.2500 0.7500 0.5000  12 I 4.28-4.70
2 Rb 0.7500 0.2500 0.5000  12 I 4.28-4.70
3 La 0.0000 0.0000 0.0000  6 I 3.13-3.16
4 I 0.2367 0.2367 0.4734  1 La 3.13, 1 F 3.48
5 I 0.2367 0.7633 0.0000  1 La 3.13, 1 F 3.48
6 I 0.2914 0.2914 0.0000  1 F 2.26
7 I 0.7086 0.7086 0.0000  1 F 2.26
8 I 0.7633 0.2367 0.0000  1 La 3.13, 1 F 3.48
9 I 0.7633 0.7633 0.5266  1 La 3.13, 1 F 3.48
10 F 0.5000 0.5000 0.0000  2 I 2.26


(5)
Material: ZrCoNi3
Method: DFT, PBE-GGA
State: relaxed

Properties
- formation enthalpy at 0 K (eV/atom) = -0.027
- excess energy over the best structure of this formula in the dataset (meV/atom) = 0

Unit cell a=5.7983 b=5.7983 c=4.7527 alpha=90.00 beta=90.00 gamma=120.00
With the nearest neighbours (Å) after each atom.
Element x y z (fractional)
1 Zr 0.3333 0.6667 0.2500  12 Ni 2.73-2.92
2 Zr 0.6667 0.3333 0.7500  12 Ni 2.73-2.92
3 Co 0.0000 0.0000 0.0000  6 Ni 2.33, 2 Co 2.38
4 Co 0.0000 0.0000 0.5000  6 Ni 2.33, 2 Co 2.38
5 Ni 0.1992 0.3984 0.7500  2 Co 2.33, 2 Ni 2.33
6 Ni 0.1992 0.8008 0.7500  2 Co 2.33, 2 Ni 2.33
7 Ni 0.3984 0.1992 0.2500  2 Co 2.33, 2 Ni 2.33
8 Ni 0.6016 0.8008 0.7500  2 Co 2.33, 2 Ni 2.33
9 Ni 0.8008 0.1992 0.2500  2 Co 2.33, 2 Ni 2.33
10 Ni 0.8008 0.6016 0.2500  2 Co 2.33, 2 Ni 2.33


(6)
Material: Ho6Au2C
Method: DFT, PBE-GGA
State: relaxed

Properties
- formation enthalpy at 0 K (eV/atom) = -0.528

Unit cell a=6.6876 b=6.9835 c=11.6367 alpha=90.00 beta=124.26 gamma=90.00
With the nearest neighbours (Å) after each atom.
Element x y z (fractional)
1 Ho 0.1408 0.0215 0.2423  1 C 2.42
2 Ho 0.1408 0.4785 0.7423  1 C 2.42
3 Ho 0.2460 0.7131 0.0517  1 C 2.44
4 Ho 0.2460 0.7869 0.5517  1 C 2.44
5 Ho 0.3424 0.1982 0.0516  1 C 2.44
6 Ho 0.3424 0.3018 0.5516  1 C 2.44
7 Ho 0.6576 0.6982 0.4484  1 C 2.44
8 Ho 0.6576 0.8018 0.9484  1 C 2.44
9 Ho 0.7540 0.2131 0.4483  1 C 2.44
10 Ho 0.7540 0.2869 0.9483  1 C 2.44
11 Ho 0.8592 0.5215 0.2577  1 C 2.42
12 Ho 0.8592 0.9785 0.7577  1 C 2.42
13 Au 0.2780 0.0665 0.7509  6 Ho 2.91-3.09
14 Au 0.2780 0.4335 0.2509  6 Ho 2.91-3.09
15 Au 0.7220 0.5665 0.7491  6 Ho 2.91-3.09
16 Au 0.7220 0.9335 0.2491  6 Ho 2.91-3.09
17 C 0.0000 0.0000 0.0000  6 Ho 2.42-2.44
18 C 0.0000 0.5000 0.5000  6 Ho 2.42-2.44


(7)
Material: Tb3NdEr6Th2
Method: DFT, PBE-GGA
State: relaxed

Properties
- formation enthalpy at 0 K (eV/atom) = 0.029

Unit cell a=6.1634 b=6.1634 c=11.6726 alpha=95.06 beta=95.06 gamma=119.97
With the nearest neighbours (Å) after each atom.
Element x y z (fractional)
1 Tb 0.0000 0.0000 0.0000  6 Er 3.53-3.55, 6 Tb 3.56
2 Tb 0.3337 0.6663 0.0000  6 Er 3.53-3.56, 6 Tb 3.55-3.56
3 Tb 0.6663 0.3337 0.0000  6 Er 3.53-3.56, 6 Tb 3.55-3.56
4 Nd 0.5000 0.5000 0.5000  6 Er 3.53-3.54, 6 Th 3.56
5 Er 0.0787 0.4167 0.2515  2 Th 3.51, 3 Tb 3.53-3.56, 6 Er 3.53-3.61, 1 Nd 3.53
6 Er 0.2452 0.2452 0.7486  2 Th 3.51, 3 Tb 3.53-3.55, 6 Er 3.53-3.61, 1 Nd 3.54
7 Er 0.4167 0.0787 0.2515  2 Th 3.51, 3 Tb 3.53-3.56, 6 Er 3.53-3.61, 1 Nd 3.53
8 Er 0.5833 0.9213 0.7485  2 Th 3.51, 3 Tb 3.53-3.56, 6 Er 3.53-3.61, 1 Nd 3.53
9 Er 0.7548 0.7548 0.2514  2 Th 3.51, 3 Tb 3.53-3.55, 6 Er 3.53-3.61, 1 Nd 3.54
10 Er 0.9213 0.5833 0.7485  2 Th 3.51, 3 Tb 3.53-3.56, 6 Er 3.53-3.61, 1 Nd 3.53
11 Th 0.1667 0.8333 0.5000  6 Er 3.51, 3 Nd 3.56, 3 Th 3.56
12 Th 0.8333 0.1667 0.5000  6 Er 3.51, 3 Nd 3.56, 3 Th 3.56


(8)
Material: AlAs7
Method: DFT, PBE-GGA
State: relaxed

Properties
- formation enthalpy at 0 K (eV/atom) = 0.447

Unit cell a=6.0035 b=6.0035 c=6.0035 alpha=60.00 beta=60.00 gamma=60.00
With the nearest neighbours (Å) after each atom.
Element x y z (fractional)
1 Al 0.0000 0.0000 0.0000  12 As 3.00
2 As 0.0000 0.0000 0.5000  10 As 3.00, 2 Al 3.00
3 As 0.0000 0.5000 0.0000  10 As 3.00, 2 Al 3.00
4 As 0.0000 0.5000 0.5000  10 As 3.00, 2 Al 3.00
5 As 0.5000 0.0000 0.0000  10 As 3.00, 2 Al 3.00
6 As 0.5000 0.0000 0.5000  10 As 3.00, 2 Al 3.00
7 As 0.5000 0.5000 0.0000  10 As 3.00, 2 Al 3.00
8 As 0.5000 0.5000 0.5000  12 As 3.00


Listing total moment for the structures above in their given order: 1.559, 5.166, 0.000, 0.000, 3.925, 0.000, 0.000, 0.000 Bohr magnetons per cell.
Listing N(E_F) for the structures above in their given order: 0.59, 1.37, 0.48, 0.00, 0.98, 1.10, 1.34, 0.49 states/eV per atom.